Material: PmY3Tl3
Method: DFT, GGA-PBE
State: relaxed

Cell lengths 9.5005, 9.5005, 5.2482 Å; angles 90.00, 90.00, 120.00 degrees
Space group P6_3/m (No. 176)
Symmetry-distinct sites (fractional):
Pm 0.3333 0.6667 0.2500 (multiplicity 2)
Y 0.0009 0.2348 0.7500 (multiplicity 6)
Tl 0.0704 0.6222 0.7500 (multiplicity 6)

Total moment (μB per atom): 0.000
Energy above the most stable polymorph in this dataset (meV per atom): 22
Energy relative to the elements (eV/atom): -0.266



Material: Sm2AgHg4
Method: DFT, GGA-PBE
State: relaxed

Cell lengths 5.262, 5.262, 15.497 Å; angles 90.00, 90.00, 90.00 degrees
Space group I4/mmm (No. 139)
Symmetry-distinct sites (fractional):
Sm 0.000 0.000 0.119 (multiplicity 4)
Ag 0.000 0.000 0.500 (multiplicity 2)
Hg 0.000 0.000 0.315 (multiplicity 4)
Hg 0.000 0.500 0.000 (multiplicity 4)

Total moment (μB per atom): 0.000
Energy above the most stable polymorph in this dataset (meV per atom): 278
Energy relative to the elements (eV/atom): 0.001



Material: CuSb2Br
Method: DFT, GGA-PBE
State: relaxed

Cell lengths 3.687, 3.687, 7.375 Å; angles 90.00, 90.00, 90.00 degrees
Space group P4mm (No. 99)
Symmetry-distinct sites (fractional):
Cu 0.000 0.000 0.000 (multiplicity 1)
Sb 0.000 0.000 0.374 (multiplicity 1)
Sb 0.500 0.500 0.120 (multiplicity 1)
Br 0.500 0.500 0.678 (multiplicity 1)

Total moment (μB per atom): 0.000
Energy above the most stable polymorph in this dataset (meV per atom): 241



Material: NaAc8Sn6
Method: DFT, GGA-PBE
State: relaxed

Cell lengths 10.0051, 10.0051, 20.7443 Å; angles 90.00, 90.00, 120.00 degrees
Space group R-3 (No. 148, hexagonal axes)
Symmetry-distinct sites (fractional):
Na 0.0000 0.0000 0.0000 (multiplicity 3)
Ac 0.0000 0.0000 0.3331 (multiplicity 6)
Ac 0.0046 0.6869 0.0981 (multiplicity 18)
Sn 0.0039 0.6574 0.9295 (multiplicity 18)

Total moment (μB per atom): 0.000
Energy relative to the elements (eV/atom): -0.515



Material: CaCeInGa
Method: DFT, GGA-PBE
State: relaxed

Cell lengths 7.525, 7.525, 7.525 Å; angles 90.00, 90.00, 90.00 degrees
Space group F-43m (No. 216)
Symmetry-distinct sites (fractional):
Ca 0.000 0.000 0.000 (multiplicity 4)
Ce 0.000 0.000 0.500 (multiplicity 4)
In 0.250 0.250 0.250 (multiplicity 4)
Ga 0.250 0.250 0.750 (multiplicity 4)

Total moment (μB per atom): 0.193
Energy relative to the elements (eV/atom): -0.405



Material: VCdH2
Method: DFT, GGA-PBE
State: relaxed

Cell lengths 5.590, 5.590, 5.590 Å; angles 90.00, 90.00, 90.00 degrees
Space group Fm-3m (No. 225)
Symmetry-distinct sites (fractional):
V 0.000 0.000 0.000 (multiplicity 4)
Cd 0.000 0.000 0.500 (multiplicity 4)
H 0.250 0.250 0.250 (multiplicity 8)

Total moment (μB per atom): 0.720
Energy above the most stable polymorph in this dataset (meV per atom): 434



Material: LiYCd
Method: DFT, GGA-PBE
State: relaxed

Cell lengths 7.082, 7.082, 7.082 Å; angles 90.00, 90.00, 90.00 degrees
Space group F-43m (No. 216)
Symmetry-distinct sites (fractional):
Li 0.000 0.000 0.000 (multiplicity 4)
Y 0.250 0.250 0.750 (multiplicity 4)
Cd 0.000 0.000 0.500 (multiplicity 4)

Total moment (μB per atom): 0.002
Energy above the most stable polymorph in this dataset (meV per atom): 572
Energy relative to the elements (eV/atom): 0.384



Material: Hf3VRh
Method: DFT, GGA-PBE
State: relaxed

Cell lengths 4.953, 4.953, 4.953 Å; angles 90.00, 90.00, 90.00 degrees
Space group Pm-3m (No. 221)
Symmetry-distinct sites (fractional):
Hf 0.000 0.000 0.500 (multiplicity 3)
V 0.500 0.500 0.500 (multiplicity 1)
Rh 0.000 0.000 0.000 (multiplicity 1)

Total moment (μB per atom): 0.649
Energy above the most stable polymorph in this dataset (meV per atom): 0
Energy relative to the elements (eV/atom): 0.563



Material: Re3RhN
Method: DFT, GGA-PBE
State: relaxed

Cell lengths 4.689, 4.689, 4.689 Å; angles 90.00, 90.00, 90.00 degrees
Space group Pm-3m (No. 221)
Symmetry-distinct sites (fractional):
Re 0.000 0.000 0.500 (multiplicity 3)
Rh 0.000 0.000 0.000 (multiplicity 1)
N 0.500 0.500 0.500 (multiplicity 1)

Total moment (μB per atom): 0.277
Energy above the most stable polymorph in this dataset (meV per atom): 3285



Material: K2RbPuO6
Method: DFT, GGA-PBE
State: relaxed

Cell lengths 6.3515, 6.3515, 17.7040 Å; angles 90.00, 90.00, 120.00 degrees
Space group R-3 (No. 148, hexagonal axes)
Symmetry-distinct sites (fractional):
K 0.0000 0.0000 0.2167 (multiplicity 6)
Rb 0.0000 0.0000 0.0000 (multiplicity 3)
Pu 0.0000 0.0000 0.5000 (multiplicity 3)
O 0.0479 0.4541 0.2267 (multiplicity 18)

Total moment (μB per atom): 0.116
Uncorrected energy (eV/atom): -6.512



Material: SrDyTl4
Method: DFT, GGA-PBE
State: relaxed

Cell lengths 5.048, 5.093, 8.232 Å; angles 89.06, 89.46, 61.02 degrees
Space group P-1 (No. 2)
Symmetry-distinct sites (fractional):
Sr 0.000 0.000 0.000 (multiplicity 1)
Dy 0.000 0.000 0.500 (multiplicity 1)
Tl 0.333 0.333 0.657 (multiplicity 2)
Tl 0.334 0.334 0.216 (multiplicity 2)

Total moment (μB per atom): 0.000
Energy above the most stable polymorph in this dataset (meV per atom): 0
Energy relative to the elements (eV/atom): -0.253



Material: Cd3In5
Method: DFT, GGA-PBE
State: relaxed

Cell lengths 9.0201, 9.0201, 5.9937 Å; angles 90.00, 90.00, 120.00 degrees
Space group P6_3/mcm (No. 193)
Symmetry-distinct sites (fractional):
Cd 0.0000 0.4076 0.2500 (multiplicity 6)
In 0.0000 0.2186 0.7500 (multiplicity 6)
In 0.3333 0.6667 0.0000 (multiplicity 4)

Total moment (μB per atom): 0.000
Energy above the most stable polymorph in this dataset (meV per atom): 38
Energy relative to the elements (eV/atom): 0.056



Material: EuDyCdSn
Method: DFT, GGA-PBE
State: relaxed

Cell lengths 7.647, 7.647, 7.647 Å; angles 90.00, 90.00, 90.00 degrees
Space group F-43m (No. 216)
Symmetry-distinct sites (fractional):
Eu 0.000 0.000 0.000 (multiplicity 4)
Dy 0.000 0.000 0.500 (multiplicity 4)
Cd 0.250 0.250 0.750 (multiplicity 4)
Sn 0.250 0.250 0.250 (multiplicity 4)

Total moment (μB per atom): 1.881
Energy relative to the elements (eV/atom): -0.501



Material: RbMgInHg2
Method: DFT, GGA-PBE
State: relaxed

Cell lengths 5.633, 5.633, 5.605 Å; angles 90.00, 90.00, 90.00 degrees
Space group P4/mmm (No. 123)
Symmetry-distinct sites (fractional):
Rb 0.000 0.000 0.000 (multiplicity 1)
Mg 0.500 0.500 0.500 (multiplicity 1)
In 0.500 0.500 0.000 (multiplicity 1)
Hg 0.000 0.500 0.500 (multiplicity 2)

Total moment (μB per atom): 0.000
Energy relative to the elements (eV/atom): -0.036



Material: LiTa2Te
Method: DFT, GGA-PBE
State: relaxed

Cell lengths 3.328, 4.995, 9.558 Å; angles 90.00, 90.00, 90.00 degrees
Space group Cmmm (No. 65)
Symmetry-distinct sites (fractional):
Li 0.000 0.000 0.000 (multiplicity 2)
Ta 0.000 0.500 0.257 (multiplicity 4)
Te 0.000 0.000 0.500 (multiplicity 2)

Total moment (μB per atom): 0.000
Uncorrected energy (eV/atom): -6.512



Material: Sc7Cd2Sn2
Method: DFT, GGA-PBE
State: relaxed

Cell lengths 6.977, 10.552, 7.726 Å; angles 90.00, 90.00, 90.00 degrees
Space group Cmmm (No. 65)
Symmetry-distinct sites (fractional):
Sc 0.000 0.000 0.000 (multiplicity 2)
Sc 0.000 0.500 0.222 (multiplicity 4)
Sc 0.250 0.250 0.299 (multiplicity 8)
Cd 0.000 0.277 0.000 (multiplicity 4)
Sn 0.206 0.000 0.500 (multiplicity 4)

Total moment (μB per atom): 0.000
Energy relative to the elements (eV/atom): -0.017



Material: EuDyCuSi
Method: DFT, GGA-PBE
State: relaxed

Cell lengths 7.119, 7.119, 7.119 Å; angles 90.00, 90.00, 90.00 degrees
Space group F-43m (No. 216)
Symmetry-distinct sites (fractional):
Eu 0.000 0.000 0.000 (multiplicity 4)
Dy 0.000 0.000 0.500 (multiplicity 4)
Cu 0.250 0.250 0.250 (multiplicity 4)
Si 0.250 0.250 0.750 (multiplicity 4)

Total moment (μB per atom): 1.811
Uncorrected energy (eV/atom): -6.455



Material: CdIn2Te
Method: DFT, GGA-PBE
State: relaxed

Cell lengths 5.140, 5.140, 4.366 Å; angles 90.00, 90.00, 90.00 degrees
Space group P4/mmm (No. 123)
Symmetry-distinct sites (fractional):
Cd 0.000 0.000 0.000 (multiplicity 1)
In 0.000 0.500 0.500 (multiplicity 2)
Te 0.500 0.500 0.000 (multiplicity 1)

Total moment (μB per atom): 0.000
Energy above the most stable polymorph in this dataset (meV per atom): 75



Material: Ca2TeOsPt
Method: DFT, GGA-PBE
State: relaxed

Cell lengths 5.476, 5.476, 4.995 Å; angles 90.00, 90.00, 90.00 degrees
Space group P4/mmm (No. 123)
Symmetry-distinct sites (fractional):
Ca 0.000 0.500 0.000 (multiplicity 2)
Te 0.000 0.000 0.500 (multiplicity 1)
Os 0.500 0.500 0.500 (multiplicity 1)
Pt 0.000 0.000 0.000 (multiplicity 1)

Total moment (μB per atom): 0.480
Uncorrected energy (eV/atom): -4.343



Material: Ba2AlNi
Method: DFT, GGA-PBE
State: relaxed

Cell lengths 3.560, 3.560, 9.620 Å; angles 90.00, 90.00, 90.00 degrees
Space group P4mm (No. 99)
Symmetry-distinct sites (fractional):
Ba 0.000 0.000 0.000 (multiplicity 1)
Ba 0.500 0.500 0.415 (multiplicity 1)
Al 0.500 0.500 0.746 (multiplicity 1)
Ni 0.000 0.000 0.664 (multiplicity 1)

Total moment (μB per atom): 0.000
Energy relative to the elements (eV/atom): 0.064



Material: Ba2Tl5Ag3
Method: DFT, GGA-PBE
State: relaxed

Cell lengths 15.392, 12.698, 6.870 Å; angles 90.00, 116.18, 90.00 degrees
Space group C2/c (No. 15)
Symmetry-distinct sites (fractional):
Ba 0.131 0.244 0.132 (multiplicity 8)
Tl 0.000 0.001 0.250 (multiplicity 4)
Tl 0.107 0.355 0.607 (multiplicity 8)
Tl 0.244 0.499 0.993 (multiplicity 8)
Ag 0.000 0.500 0.250 (multiplicity 4)
Ag 0.127 0.131 0.628 (multiplicity 8)

Total moment (μB per atom): 0.000
Energy above the most stable polymorph in this dataset (meV per atom): 3
Energy relative to the elements (eV/atom): -0.196



Material: TePS2F
Method: DFT, GGA-PBE
State: relaxed

Cell lengths 5.024, 5.024, 5.313 Å; angles 90.00, 90.00, 90.00 degrees
Space group P4/mmm (No. 123)
Symmetry-distinct sites (fractional):
Te 0.000 0.000 0.000 (multiplicity 1)
P 0.000 0.000 0.500 (multiplicity 1)
S 0.000 0.500 0.000 (multiplicity 2)
F 0.500 0.500 0.500 (multiplicity 1)

Total moment (μB per atom): 0.117
Energy above the most stable polymorph in this dataset (meV per atom): 225



Material: RbTbHgS3
Method: DFT, GGA-PBE
State: relaxed

Cell lengths 8.868, 4.158, 10.079 Å; angles 90.00, 108.29, 90.00 degrees
Space group P2_1/m (No. 11)
Symmetry-distinct sites (fractional):
Rb 0.217 0.250 0.240 (multiplicity 2)
Tb 0.332 0.750 0.865 (multiplicity 2)
Hg 0.096 0.250 0.616 (multiplicity 2)
S 0.117 0.250 0.870 (multiplicity 2)
S 0.230 0.750 0.547 (multiplicity 2)
S 0.466 0.750 0.144 (multiplicity 2)

Total moment (μB per atom): 0.000
Uncorrected energy (eV/atom): -4.282



Material: CdSiRu2
Method: DFT, GGA-PBE
State: relaxed

Cell lengths 6.167, 6.167, 6.167 Å; angles 90.00, 90.00, 90.00 degrees
Space group Fm-3m (No. 225)
Symmetry-distinct sites (fractional):
Cd 0.000 0.000 0.000 (multiplicity 4)
Si 0.000 0.000 0.500 (multiplicity 4)
Ru 0.250 0.250 0.250 (multiplicity 8)

Total moment (μB per atom): 0.000
Uncorrected energy (eV/atom): -6.167



Material: CaAc7Sn2
Method: DFT, GGA-PBE
State: relaxed

Cell lengths 10.042, 16.230, 6.394 Å; angles 90.00, 90.00, 90.00 degrees
Space group Cmmm (No. 65)
Symmetry-distinct sites (fractional):
Ca 0.000 0.000 0.000 (multiplicity 2)
Ac 0.000 0.286 0.000 (multiplicity 4)
Ac 0.000 0.500 0.500 (multiplicity 2)
Ac 0.184 0.129 0.500 (multiplicity 8)
Sn 0.000 0.298 0.500 (multiplicity 4)

Total moment (μB per atom): 0.199
Energy relative to the elements (eV/atom): 0.113